No. 1
# GGA-PBE GeW, optimized geometry
data_GeW
_chemical_formula_sum 'Ge4 W4'
_space_group_name_H-M_alt 'P 1'
_space_group_IT_number 1
_cell_length_a 5.159
_cell_length_b 5.159
_cell_length_c 5.159
_cell_angle_alpha 90.00
_cell_angle_beta 90.00
_cell_angle_gamma 90.00
loop_
_space_group_symop_operation_xyz
'x,y,z'
loop_
_atom_site_label
_atom_site_type_symbol
_atom_site_fract_x
_atom_site_fract_y
_atom_site_fract_z
_atom_site_occupancy
Ge1 Ge 0.500 0.500 0.000 1
W1 W 0.000 0.000 0.500 1
W2 W 0.500 0.000 0.000 1
W3 W 0.000 0.500 0.000 1
Ge2 Ge 0.500 0.000 0.500 1
Ge3 Ge 0.000 0.500 0.500 1
Ge4 Ge 0.000 0.000 0.000 1
W4 W 0.500 0.500 0.500 1
# - DFT formation energy (eV per atom) = 0.85
# - VASP energy (eV/atom) = -7.932

***

No. 2
# GGA-PBE TiNbCr2Fe, optimized geometry
data_TiNbCr2Fe
_chemical_formula_sum 'Ti1 Nb1 Cr2 Fe1'
_space_group_name_H-M_alt 'P 1'
_space_group_IT_number 1
_cell_length_a 4.254
_cell_length_b 4.389
_cell_length_c 4.254
_cell_angle_alpha 90.00
_cell_angle_beta 90.00
_cell_angle_gamma 90.00
loop_
_space_group_symop_operation_xyz
'x,y,z'
loop_
_atom_site_label
_atom_site_type_symbol
_atom_site_fract_x
_atom_site_fract_y
_atom_site_fract_z
_atom_site_occupancy
Cr1 Cr 0.000 0.000 0.500 1
Ti1 Ti 0.000 0.500 0.000 1
Cr2 Cr 0.500 0.000 0.000 1
Fe1 Fe 0.000 0.000 0.000 1
Nb1 Nb 0.500 0.500 0.500 1
# - DFT formation energy (eV per atom) = 0.77
# - VASP energy (eV/atom) = -8.364

***

No. 3
# GGA-PBE LiLuCdSi, optimized geometry
data_LiLuCdSi
_chemical_formula_sum 'Li1 Lu1 Cd1 Si1'
_space_group_name_H-M_alt 'P 1'
_space_group_IT_number 1
_cell_length_a 4.824
_cell_length_b 4.824
_cell_length_c 4.824
_cell_angle_alpha 60.00
_cell_angle_beta 60.00
_cell_angle_gamma 60.00
loop_
_space_group_symop_operation_xyz
'x,y,z'
loop_
_atom_site_label
_atom_site_type_symbol
_atom_site_fract_x
_atom_site_fract_y
_atom_site_fract_z
_atom_site_occupancy
Li1 Li 0.000 0.000 0.000 1
Si1 Si 0.250 0.250 0.250 1
Lu1 Lu 0.500 0.500 0.500 1
Cd1 Cd 0.750 0.750 0.750 1
# - uncorrected formation energy (eV/atom) = -0.29
# - VASP energy (eV/atom) = -3.482

***

No. 4
# GGA-PBE PPd3Se, optimized geometry
data_PPd3Se
_chemical_formula_sum 'P2 Pd6 Se2'
_space_group_name_H-M_alt 'P 1'
_space_group_IT_number 1
_cell_length_a 3.774
_cell_length_b 7.033
_cell_length_c 7.035
_cell_angle_alpha 70.07
_cell_angle_beta 83.51
_cell_angle_gamma 83.59
loop_
_space_group_symop_operation_xyz
'x,y,z'
loop_
_atom_site_label
_atom_site_type_symbol
_atom_site_fract_x
_atom_site_fract_y
_atom_site_fract_z
_atom_site_occupancy
Pd1 Pd 0.800 0.738 0.440 1
Pd2 Pd 0.384 0.366 0.419 1
Pd3 Pd 0.887 0.603 0.095 1
P1 P 0.328 0.185 0.769 1
Pd4 Pd 0.568 0.022 0.074 1
Se1 Se 0.946 0.193 0.247 1
P2 P 0.329 0.717 0.237 1
Pd5 Pd 0.800 0.388 0.790 1
Se2 Se 0.206 0.686 0.738 1
Pd6 Pd 0.886 0.043 0.656 1
# - uncorrected formation energy (eV/atom) = -0.28
# - VASP energy (eV/atom) = -5.173